1.
An optimized crystal structure of LaCu2Os, computed with PBE.

Cell lengths 5.0029, 5.0029, 5.0029 Å; angles 131.00, 131.12, 71.72 degrees
Last column: nearest neighbours and their distance in Å.
Element x y z (fractional)
Cu: 0.5002 0.5002 0.0000  4 Os 2.90, 4 La 2.90, 4 Cu 2.93
La: 0.7500 0.2500 0.5000  8 Cu 2.90, 4 Os 2.93
Os: 0.2500 0.7500 0.5000  8 Cu 2.90, 4 La 2.93
Cu: 0.9998 0.9998 0.0000  4 Os 2.90, 4 La 2.90, 4 Cu 2.93

Summary:
Polymorph energy (0 for the lowest one) ... 206 meV per atom
Calculated total energy ... -5.81 eV per atom
ΔH_f (0 K) ... 280.5 meV/atom

***

2.
An optimized crystal structure of La3CuOs, computed with PBE.

Cell lengths 6.0142, 6.5587, 8.5630 Å; angles 120.91, 84.69, 109.03 degrees
Last column: nearest neighbours and their distance in Å.
Element x y z (fractional)
La: 0.2532 0.2855 0.5583  1 Os 2.72, 2 Cu 2.95-3.00
Os: 0.0840 0.2669 0.8575  3 La 2.72-2.94
Cu: 0.2879 0.8210 0.5154  1 Cu 2.95, 7 La 2.95-3.29
La: 0.0401 0.2873 0.1956  1 Os 2.82, 1 Cu 3.08
Os: 0.9160 0.7331 0.1425  3 La 2.72-2.94
La: 0.4216 0.7906 0.1240  3 Os 2.94-3.14, 1 Cu 3.02
La: 0.5784 0.2094 0.8760  3 Os 2.94-3.14, 1 Cu 3.02
Cu: 0.7121 0.1790 0.4846  1 Cu 2.95, 7 La 2.95-3.29
La: 0.9599 0.7127 0.8044  1 Os 2.82, 1 Cu 3.08
La: 0.7468 0.7145 0.4417  1 Os 2.72, 2 Cu 2.95-3.00

Summary:
Polymorph energy (0 for the lowest one) ... 22 meV per atom
Calculated total energy ... -6.13 eV per atom
ΔH_f (0 K) ... -110.9 meV/atom

***

3.
An optimized crystal structure of LaCu2Os, computed with PBE.

Cell lengths 4.6617, 4.6617, 4.6617 Å; angles 60.00, 60.00, 60.00 degrees
Last column: nearest neighbours and their distance in Å.
Element x y z (fractional)
Os: 0.7500 0.7500 0.7500  4 La 2.85, 4 Cu 2.85
Cu: 0.2500 0.2500 0.2500  4 La 2.85, 4 Cu 2.85
La: 0.5000 0.5000 0.5000  4 Os 2.85, 4 Cu 2.85
Cu: 0.0000 0.0000 0.0000  4 Os 2.85, 4 Cu 2.85

Summary:
Polymorph energy (0 for the lowest one) ... 380 meV per atom
Calculated total energy ... -5.63 eV per atom
ΔH_f (0 K) ... 454.5 meV/atom

***

4.
An optimized crystal structure of La8Cu2Os, computed with PBE.

Cell lengths 5.1821, 7.0527, 9.4262 Å; angles 98.78, 105.95, 90.00 degrees
Last column: nearest neighbours and their distance in Å.
Element x y z (fractional)
Cu: 0.8071 0.2592 0.6142  5 La 2.90-3.15
La: 0.6594 0.9670 0.3188  1 Os 2.94, 3 Cu 3.11-3.15
La: 0.5878 0.4372 0.1755  1 Os 3.24, 5 La 3.44-3.56
La: 0.0290 0.7910 0.0581  1 Cu 3.05, 2 Os 3.07, 1 La 3.28
La: 0.3406 0.0330 0.6812  1 Os 2.94, 3 Cu 3.11-3.15
Os: 0.5000 0.0000 0.0000  8 La 2.94-3.24
La: 0.7963 0.6647 0.5927  1 Cu 2.90
La: 0.4122 0.5628 0.8245  1 Os 3.24, 5 La 3.44-3.56
Cu: 0.1929 0.7408 0.3858  5 La 2.90-3.15
La: 0.9710 0.2090 0.9419  1 Cu 3.05, 2 Os 3.07, 1 La 3.28
La: 0.2037 0.3353 0.4073  1 Cu 2.90

Summary:
Calculated total energy ... -5.42 eV per atom
ΔH_f (0 K) ... -67.1 meV/atom

***

5.
An optimized crystal structure of LaCu2Os, computed with PBE.

Cell lengths 4.3641, 4.3641, 9.3950 Å; angles 76.57, 76.57, 90.00 degrees
Last column: nearest neighbours and their distance in Å.
Element x y z (fractional)
Cu: 0.9574 0.6250 0.2500  2 Cu 2.30, 2 Os 2.50
Cu: 0.8750 0.0426 0.7500  2 Cu 2.30, 2 Os 2.50
Os: 0.7500 0.2500 0.5000  4 Cu 2.50
Os: 0.0000 0.0000 0.0000  4 Cu 2.50
La: 0.5000 0.5000 0.0000  4 Cu 3.07, 4 Os 3.09
Cu: 0.7926 0.1250 0.2500  2 Cu 2.30, 2 Os 2.50
La: 0.2500 0.7500 0.5000  4 Cu 3.07, 4 Os 3.09
Cu: 0.3750 0.2074 0.7500  2 Cu 2.30, 2 Os 2.50

Summary:
Polymorph energy (0 for the lowest one) ... 267 meV per atom
Calculated total energy ... -5.75 eV per atom
ΔH_f (0 K) ... 342.3 meV/atom

***

6.
An optimized crystal structure of LaCuOs2Pb, computed with PBE.

Cell lengths 4.9260, 5.2191, 4.9260 Å; angles 90.00, 90.00, 90.00 degrees
Last column: nearest neighbours and their distance in Å.
Element x y z (fractional)
Os: 0.0000 0.0000 0.5000  2 La 2.46
Pb: 0.5000 0.5000 0.5000  4 Cu 3.48, 8 Os 3.59
La: 0.0000 0.0000 0.0000  4 Os 2.46, 2 Cu 2.61
Cu: 0.0000 0.5000 0.0000  2 La 2.61
Os: 0.5000 0.0000 0.0000  2 La 2.46

Summary:
Calculated total energy ... -5.10 eV per atom
ΔH_f (0 K) ... 1934.7 meV/atom

***

7.
An optimized crystal structure of LaPmCuOs, computed with PBE.

Cell lengths 5.0345, 5.0345, 5.0345 Å; angles 60.00, 60.00, 60.00 degrees
Last column: nearest neighbours and their distance in Å.
Element x y z (fractional)
Cu: 0.2500 0.2500 0.2500  4 Pm 3.08, 4 La 3.08
La: 0.5000 0.5000 0.5000  4 Cu 3.08, 4 Os 3.08
Os: 0.7500 0.7500 0.7500  4 La 3.08, 4 Pm 3.08
Pm: 0.0000 0.0000 0.0000  4 Os 3.08, 4 Cu 3.08

Summary:
Calculated total energy ... -6.34 eV per atom
ΔH_f (0 K) ... -88.9 meV/atom

***

8.
An optimized crystal structure of LaPrCuOs, computed with PBE.

Cell lengths 5.0705, 5.0705, 5.0705 Å; angles 60.00, 60.00, 60.00 degrees
Last column: nearest neighbours and their distance in Å.
Element x y z (fractional)
Os: 0.7500 0.7500 0.7500  4 Pr 3.11, 4 La 3.11
Cu: 0.2500 0.2500 0.2500  4 La 3.11, 4 Pr 3.11
Pr: 0.5000 0.5000 0.5000  4 Cu 3.11, 4 Os 3.11
La: 0.0000 0.0000 0.0000  4 Os 3.11, 4 Cu 3.11

Summary:
Calculated total energy ... -6.31 eV per atom
ΔH_f (0 K) ... -53.3 meV/atom

***

9.
An optimized crystal structure of LaPuCuOs, computed with PBE.

Cell lengths 4.9659, 4.9659, 4.9659 Å; angles 60.00, 60.00, 60.00 degrees
Last column: nearest neighbours and their distance in Å.
Element x y z (fractional)
Os: 0.0000 0.0000 0.0000  4 La 3.04, 4 Pu 3.04
La: 0.2500 0.2500 0.2500  4 Os 3.04, 4 Cu 3.04
Pu: 0.7500 0.7500 0.7500  4 Cu 3.04, 4 Os 3.04
Cu: 0.5000 0.5000 0.5000  4 Pu 3.04, 4 La 3.04

Summary:
Calculated total energy ... -8.60 eV per atom
ΔH_f (0 K) ... 41.8 meV/atom

***

10.
An optimized crystal structure of Rb2LaCuOs, computed with PBE.

Cell lengths 5.5247, 6.0162, 5.5247 Å; angles 90.00, 90.00, 90.00 degrees
Last column: nearest neighbours and their distance in Å.
Element x y z (fractional)
La: 0.0000 0.5000 0.0000  2 Cu 3.01
Cu: 0.0000 0.0000 0.0000  4 Rb 2.76, 2 La 3.01
Rb: 0.0000 0.0000 0.5000  2 Cu 2.76
Os: 0.5000 0.5000 0.5000  4 La 3.91, 8 Rb 4.08
Rb: 0.5000 0.0000 0.0000  2 Cu 2.76

Summary:
Calculated total energy ... -2.93 eV per atom
ΔH_f (0 K) ... 1502.9 meV/atom

***

11.
An optimized crystal structure of LaCu2OsRh, computed with PBE.

Cell lengths 4.8912, 4.7647, 4.8912 Å; angles 90.00, 90.00, 90.00 degrees
Last column: nearest neighbours and their distance in Å.
Element x y z (fractional)
Os: 0.0000 0.5000 0.0000  2 La 2.38
La: 0.0000 0.0000 0.0000  2 Os 2.38, 4 Cu 2.45
Rh: 0.5000 0.5000 0.5000  8 Cu 3.41, 4 Os 3.46
Cu: 0.5000 0.0000 0.0000  2 La 2.45
Cu: 0.0000 0.0000 0.5000  2 La 2.45

Summary:
Calculated total energy ... -4.30 eV per atom
ΔH_f (0 K) ... 2037.2 meV/atom

***

12.
An optimized crystal structure of LaScCuOs, computed with PBE.

Cell lengths 4.8442, 4.8442, 4.8442 Å; angles 60.00, 60.00, 60.00 degrees
Last column: nearest neighbours and their distance in Å.
Element x y z (fractional)
Sc: 0.7500 0.7500 0.7500  4 Cu 2.97, 4 Os 2.97
Os: 0.0000 0.0000 0.0000  4 Sc 2.97, 4 La 2.97
La: 0.2500 0.2500 0.2500  4 Cu 2.97, 4 Os 2.97
Cu: 0.5000 0.5000 0.5000  4 La 2.97, 4 Sc 2.97

Summary:
Calculated total energy ... -6.78 eV per atom
ΔH_f (0 K) ... -136.6 meV/atom

***

13.
An optimized crystal structure of LaCuSi2Os, computed with PBE.

Cell lengths 4.5805, 4.8596, 4.5805 Å; angles 90.00, 90.00, 90.00 degrees
Last column: nearest neighbours and their distance in Å.
Element x y z (fractional)
Si: 0.5000 0.0000 0.0000  2 Os 2.29
Cu: 0.0000 0.5000 0.0000  2 Os 2.43
La: 0.5000 0.5000 0.5000  4 Cu 3.24, 8 Si 3.34
Os: 0.0000 0.0000 0.0000  4 Si 2.29, 2 Cu 2.43
Si: 0.0000 0.0000 0.5000  2 Os 2.29

Summary:
Calculated total energy ... -6.37 eV per atom
ΔE_f (raw) ... -0.1542 eV/atom

***

14.
An optimized crystal structure of LaSmCuOs, computed with PBE.

Cell lengths 5.0220, 5.0220, 5.0220 Å; angles 60.00, 60.00, 60.00 degrees
Last column: nearest neighbours and their distance in Å.
Element x y z (fractional)
Os: 0.7500 0.7500 0.7500  4 La 3.08, 4 Sm 3.08
Cu: 0.2500 0.2500 0.2500  4 La 3.08, 4 Sm 3.08
La: 0.5000 0.5000 0.5000  4 Os 3.08, 4 Cu 3.08
Sm: 0.0000 0.0000 0.0000  4 Cu 3.08, 4 Os 3.08

Summary:
Calculated total energy ... -6.34 eV per atom
ΔH_f (0 K) ... -99.4 meV/atom

***

15.
An optimized crystal structure of LaTbCuOs, computed with PBE.

Cell lengths 4.9824, 4.9824, 4.9824 Å; angles 60.00, 60.00, 60.00 degrees
Last column: nearest neighbours and their distance in Å.
Element x y z (fractional)
Tb: 0.0000 0.0000 0.0000  4 Os 3.05, 4 Cu 3.05
Cu: 0.2500 0.2500 0.2500  4 Tb 3.05, 4 La 3.05
La: 0.5000 0.5000 0.5000  4 Os 3.05, 4 Cu 3.05
Os: 0.7500 0.7500 0.7500  4 La 3.05, 4 Tb 3.05

Summary:
Calculated total energy ... -6.36 eV per atom
ΔH_f (0 K) ... -136.5 meV/atom

***

16.
An optimized crystal structure of La2CuTeOs, computed with PBE.

Cell lengths 5.4823, 4.6647, 5.4823 Å; angles 90.00, 90.00, 90.00 degrees
Last column: nearest neighbours and their distance in Å.
Element x y z (fractional)
La: 0.0000 0.0000 0.5000  2 Cu 2.74
Te: 0.0000 0.5000 0.0000  2 Cu 2.33
Os: 0.5000 0.5000 0.5000  8 La 3.60, 4 Te 3.88
La: 0.5000 0.0000 0.0000  2 Cu 2.74
Cu: 0.0000 0.0000 0.0000  2 Te 2.33

Summary:
Calculated total energy ... -5.14 eV per atom
ΔE_f (raw) ... 0.5208 eV/atom

***

17.
An optimized crystal structure of LaTmCuOs, computed with PBE.

Cell lengths 4.9410, 4.9410, 4.9410 Å; angles 60.00, 60.00, 60.00 degrees
Last column: nearest neighbours and their distance in Å.
Element x y z (fractional)
Cu: 0.2500 0.2500 0.2500  4 La 3.03, 4 Tm 3.03
Tm: 0.5000 0.5000 0.5000  4 Os 3.03, 4 Cu 3.03
La: 0.0000 0.0000 0.0000  4 Os 3.03, 4 Cu 3.03
Os: 0.7500 0.7500 0.7500  4 La 3.03, 4 Tm 3.03

Summary:
Calculated total energy ... -6.34 eV per atom
ΔH_f (0 K) ... -161.7 meV/atom

***

18.
An optimized crystal structure of LaYCuOs, computed with PBE.

Cell lengths 4.9802, 4.9802, 4.9802 Å; angles 60.00, 60.00, 60.00 degrees
Last column: nearest neighbours and their distance in Å.
Element x y z (fractional)
Cu: 0.0000 0.0000 0.0000  4 La 3.05, 4 Y 3.05
Y: 0.7500 0.7500 0.7500  4 Os 3.05, 4 Cu 3.05
La: 0.2500 0.2500 0.2500  4 Os 3.05, 4 Cu 3.05
Os: 0.5000 0.5000 0.5000  4 Y 3.05, 4 La 3.05

Summary:
Calculated total energy ... -6.81 eV per atom
ΔH_f (0 K) ... -133.7 meV/atom

***

19.
An optimized crystal structure of La2CuP, computed with PBE.

Cell lengths 4.1542, 4.1542, 7.7707 Å; angles 74.47, 74.47, 59.99 degrees
Last column: nearest neighbours and their distance in Å.
Element x y z (fractional)
La: 0.0773 0.0773 0.7685  3 P 2.96, 3 Cu 3.11
P: 0.6659 0.6659 0.0021  6 La 2.93-2.96
Cu: 0.5000 0.5000 0.4998  6 La 3.11-3.12
La: 0.2567 0.2567 0.2296  3 P 2.93, 3 Cu 3.12

Summary:
Calculated total energy ... -5.59 eV per atom
ΔH_f (0 K) ... -748.9 meV/atom

***

20.
An optimized crystal structure of LaCuP4, computed with PBE.

Cell lengths 5.3214, 5.3214, 5.3214 Å; angles 60.00, 60.00, 60.00 degrees
Last column: nearest neighbours and their distance in Å.
Element x y z (fractional)
P: 0.8380 0.3873 0.3873  3 P 2.40
La: 0.0000 0.0000 0.0000  12 P 3.15, 4 Cu 3.26
Cu: 0.7500 0.7500 0.7500  12 P 3.10, 4 La 3.26
P: 0.3873 0.8380 0.3873  3 P 2.40
P: 0.3873 0.3873 0.8380  3 P 2.40
P: 0.3873 0.3873 0.3873  3 P 2.40

Summary:
Calculated total energy ... -5.16 eV per atom
ΔH_f (0 K) ... -53.0 meV/atom